1.
The following is a PBE calculation of an optimized crystal structure of Cd2BiTe, from Alexandria via LeMat-Bulk.

The raw formation energy comes out at 149 meV/atom. The total energy comes out at -33.04 eV per cell. The calculation puts the relative energy among the computed polymorphs at 214 meV per atom. The calculation puts the total magnetization at 0.000 μB/atom. The density of states at the Fermi level comes out at 0.69 states/eV per atom.

abc: 7.598 7.598 7.598
angles: 90.00 90.00 90.00
Space group Fm-3m (No. 225)
Unique sites:
Cd  0.250  0.250  0.250
Bi  0.000  0.000  0.000
Te  0.000  0.000  0.500



2.
The following is a PBE calculation of an optimized crystal structure of Ac8AgHg2, from Alexandria via LeMat-Bulk.

The total energy comes out at -76.37 eV per cell. The calculation puts the total magnetization at 0.000 μB/atom. The density of states at the Fermi level comes out at 0.97 states/eV per atom.

abc: 20.146 5.656 7.632
angles: 90.00 104.07 90.00
Space group C2/m (No. 12)
Unique sites:
Ac  0.024  0.000  0.272
Ac  0.090  0.500  0.957
Ac  0.162  0.500  0.476
Ac  0.201  0.000  0.825
Ag  0.000  0.500  0.500
Hg  0.185  0.000  0.239



3.
The following is a PBE calculation of an optimized crystal structure of TaTl2In, from Alexandria via LeMat-Bulk.

The total energy comes out at -34.16 eV per cell. The calculation puts the relative energy among the computed polymorphs at 196 meV per atom. The calculation puts the total magnetization at 0.000 μB/atom. The density of states at the Fermi level comes out at 0.42 states/eV per atom.

abc: 4.300 4.300 9.773
angles: 90.00 90.00 90.00
Space group I-4m2 (No. 119)
Unique sites:
Ta  0.000  0.000  0.000
Tl  0.000  0.000  0.500
Tl  0.000  0.500  0.750
In  0.000  0.500  0.250